The following is a DFT calculation (PBEsol) of a relaxed structure of Zr2CuNi2.

Cell: 6.795 6.795 3.310 Å, 90.00 90.00 90.00°
Space group P4/mbm (No. 127)
Unique sites:
Zr 0.176 0.324 0.000 (multiplicity 4)
Cu 0.000 0.000 0.500 (multiplicity 2)
Ni 0.126 0.626 0.500 (multiplicity 4)

=====

The following is a DFT calculation (PBEsol) of a relaxed structure of Ag3As.

Cell: 7.320 7.706 5.104 Å, 90.00 90.00 90.00°
Space group Pnma (No. 62)
Unique sites:
Ag 0.051 0.250 0.099 (multiplicity 4)
Ag 0.217 0.063 0.533 (multiplicity 8)
As 0.105 0.750 0.401 (multiplicity 4)

=====

The following is a DFT calculation (PBEsol) of a relaxed structure of Tl2ReIr.

Cell: 3.034 3.644 6.388 Å, 90.00 90.00 90.00°
Space group Pmmm (No. 47)
Unique sites:
Tl 0.000 0.000 0.245 (multiplicity 2)
Re 0.500 0.500 0.500 (multiplicity 1)
Ir 0.500 0.500 0.000 (multiplicity 1)

=====

For reference, total DFT energy (no corrections) by record: -7.322 -3.651 -6.112 eV/atom.
For reference, total magnetization by record: 0.00 0.00 0.00 μB/atom.